An optimized crystal structure of PaAlNi2. Source: Alexandria, functional PBE.

**Magnetic moment**: 0.000 μB/atom
**ΔE_f**: -0.44 eV per atom

Geometry as CIF:
```
data_PaAlNi2
_space_group_name_H-M_alt 'P 4/m m m'
_space_group_IT_number 123
_space_group_name_Hall '-P 4 2'
_cell_length_a 3.003
_cell_length_b 3.003
_cell_length_c 6.702
_cell_angle_alpha 90.00
_cell_angle_beta 90.00
_cell_angle_gamma 90.00
loop_
_atom_site_label
_atom_site_type_symbol
_atom_site_fract_x
_atom_site_fract_y
_atom_site_fract_z
Pa1 Pa 0.000 0.000 0.000
Al1 Al 0.000 0.000 0.500
Ni1 Ni 0.500 0.500 0.295
```